{
  "formula": "CuP2PtO",
  "functional": "PBE-GGA",
  "state": "relaxed",
  "lattice": [[4.6216, 0.0000, 0.0000], [0.0000, 4.6216, 0.0000], [0.0000, 0.0000, 3.4359]],
  "species": ["Cu", "P", "P", "Pt", "O"],
  "fractional_positions": [[0.0000, 0.0000, 0.0000], [0.0000, 0.5000, 0.0000], [0.5000, 0.0000, 0.0000], [0.5000, 0.5000, 0.5000], [0.0000, 0.0000, 0.5000]],
  "raw_formation_energy_mev_per_atom": 525,
  "e_tot_ry_per_atom": -0.342
}



{
  "formula": "CuP2PtO",
  "functional": "PBE-GGA",
  "state": "relaxed",
  "lattice": [[4.8351, 0.0000, 0.0000], [0.0000, 4.8351, 0.0000], [0.0000, 0.0000, 3.7423]],
  "species": ["Cu", "P", "P", "Pt", "O"],
  "fractional_positions": [[0.0000, 0.0000, 0.0000], [0.0000, 0.5000, 0.5000], [0.5000, 0.0000, 0.5000], [0.5000, 0.5000, 0.5000], [0.5000, 0.5000, 0.0000]],
  "raw_formation_energy_mev_per_atom": 668,
  "e_tot_ry_per_atom": -0.332
}



{
  "formula": "RbCuP2O",
  "functional": "PBE-GGA",
  "state": "relaxed",
  "lattice": [[5.4245, 0.0000, 0.0000], [0.0000, 5.4245, 0.0000], [0.0000, 0.0000, 4.2143]],
  "species": ["Rb", "Cu", "P", "P", "O"],
  "fractional_positions": [[0.0000, 0.0000, 0.0000], [0.5000, 0.5000, 0.5000], [0.0000, 0.5000, 0.0000], [0.5000, 0.0000, 0.0000], [0.0000, 0.0000, 0.5000]],
  "raw_formation_energy_mev_per_atom": 1958,
  "e_tot_ry_per_atom": -0.162
}



{
  "formula": "RbCuP3O9",
  "functional": "PBE-GGA",
  "state": "relaxed",
  "lattice": [[5.3239, 0.0000, 0.0000], [0.0000, 11.6331, 0.0000], [-2.0735, 0.0000, 13.1998]],
  "species": ["Rb", "Rb", "Rb", "Rb", "Cu", "Cu", "Cu", "Cu", "P", "P", "P", "P", "P", "P", "P", "P", "P", "P", "P", "P", "O", "O", "O", "O", "O", "O", "O", "O", "O", "O", "O", "O", "O", "O", "O", "O", "O", "O", "O", "O", "O", "O", "O", "O", "O", "O", "O", "O", "O", "O", "O", "O", "O", "O", "O", "O"],
  "fractional_positions": [[0.0605, 0.1635, 0.2489], [0.0605, 0.3365, 0.7489], [0.9395, 0.6635, 0.2511], [0.9395, 0.8365, 0.7511], [0.0000, 0.0000, 0.0000], [0.0000, 0.0000, 0.5000], [0.0000, 0.5000, 0.0000], [0.0000, 0.5000, 0.5000], [0.2471, 0.7471, 0.0087], [0.2471, 0.7529, 0.5087], [0.4866, 0.5936, 0.8697], [0.4866, 0.9064, 0.3697], [0.4910, 0.0796, 0.8514], [0.4910, 0.4204, 0.3514], [0.5090, 0.5796, 0.6486], [0.5090, 0.9204, 0.1486], [0.5134, 0.0936, 0.6303], [0.5134, 0.4064, 0.1303], [0.7529, 0.2471, 0.4913], [0.7529, 0.2529, 0.9913], [0.0518, 0.6625, 0.4724], [0.0518, 0.8375, 0.9724], [0.1602, 0.6434, 0.0619], [0.1602, 0.8566, 0.5619], [0.2204, 0.0435, 0.8348], [0.2204, 0.4565, 0.3348], [0.2276, 0.0925, 0.6005], [0.2276, 0.4075, 0.1005], [0.3074, 0.0058, 0.1046], [0.3074, 0.4942, 0.6046], [0.3260, 0.0065, 0.3888], [0.3260, 0.4935, 0.8888], [0.3765, 0.7121, 0.9126], [0.3765, 0.7879, 0.4126], [0.4284, 0.6343, 0.7519], [0.4284, 0.8657, 0.2519], [0.4840, 0.6978, 0.5825], [0.4840, 0.8022, 0.0825], [0.5160, 0.1978, 0.9175], [0.5160, 0.3022, 0.4175], [0.5716, 0.1343, 0.7481], [0.5716, 0.3657, 0.2481], [0.6235, 0.2121, 0.5874], [0.6235, 0.2879, 0.0874], [0.6740, 0.5065, 0.1112], [0.6740, 0.9935, 0.6112], [0.6926, 0.5058, 0.3954], [0.6926, 0.9942, 0.8954], [0.7724, 0.5925, 0.8995], [0.7724, 0.9075, 0.3995], [0.7796, 0.5435, 0.6652], [0.7796, 0.9565, 0.1652], [0.8398, 0.1434, 0.4381], [0.8398, 0.3566, 0.9381], [0.9482, 0.1625, 0.0276], [0.9482, 0.3375, 0.5276]],
  "raw_formation_energy_mev_per_atom": -1950,
  "e_tot_ry_per_atom": -0.489
}



{
  "formula": "RbCuP2O",
  "functional": "PBE-GGA",
  "state": "relaxed",
  "lattice": [[4.4903, 0.0000, 0.0000], [0.0000, 4.4903, 0.0000], [0.0000, 0.0000, 4.8095]],
  "species": ["Rb", "Cu", "P", "P", "O"],
  "fractional_positions": [[0.0000, 0.0000, 0.0000], [0.5000, 0.5000, 0.5000], [0.0000, 0.5000, 0.5000], [0.5000, 0.0000, 0.5000], [0.5000, 0.5000, 0.0000]],
  "raw_formation_energy_mev_per_atom": 445,
  "e_tot_ry_per_atom": -0.274
}



{
  "formula": "Rb2CuPO4",
  "functional": "PBE-GGA",
  "state": "relaxed",
  "lattice": [[0.0000, 5.8070, 10.0984], [2.5950, 0.0000, 10.0984], [2.5950, 5.8070, 0.0000]],
  "species": ["Rb", "Rb", "Rb", "Rb", "Cu", "Cu", "P", "P", "O", "O", "O", "O", "O", "O", "O", "O"],
  "fractional_positions": [[0.0483, 0.0483, 0.7017], [0.2983, 0.2983, 0.9517], [0.7017, 0.7017, 0.0483], [0.9517, 0.9517, 0.2983], [0.1250, 0.1250, 0.1250], [0.8750, 0.8750, 0.8750], [0.3750, 0.3750, 0.3750], [0.6250, 0.6250, 0.6250], [0.0742, 0.5889, 0.5188], [0.3181, 0.5188, 0.5889], [0.4111, 0.9258, 0.6819], [0.4812, 0.6819, 0.9258], [0.5188, 0.3181, 0.0742], [0.5889, 0.0742, 0.3181], [0.6819, 0.4812, 0.4111], [0.9258, 0.4111, 0.4812]],
  "raw_formation_energy_mev_per_atom": -1736,
  "e_tot_ry_per_atom": -0.415
}